Below is KMo2Se after structural relaxation, with properties calculated at the PBE-GGA level.

Structure (extended XYZ):
```
4
Lattice="-2.555 -0.735 -2.181 -1.489 -3.251 2.839 -3.067 3.509 2.410" Properties=species:S:1:pos:R:3 pbc="T T T"
K -2.278 0.129 2.625
Mo 0.000 0.000 0.000
Mo -2.022 -1.993 0.329
Se -2.811 1.387 0.114
```

Results
The distance to the lowest polymorph of the same formula comes out at 3.09 eV/f.u. Its crystal system is orthorhombic. The calculation puts the volume at 20.60 Å³/atom. The symmetry is Pmmm, No. 47. As for the uncorrected formation energy: 4.3 eV/f.u.